# Nd2YTm2Sc2

An optimized crystal structure of Nd2YTm2Sc2 (GGA-PBE, the Alexandria database).

Cell lengths 11.424, 3.428, 11.543 Å; angles 90.00, 108.62, 90.00 degrees
Element x y z (fractional)
1 Nd 0.173 0.000 0.090
2 Nd 0.327 0.500 0.910
3 Nd 0.673 0.500 0.090
4 Nd 0.827 0.000 0.910
5 Y 0.000 0.500 0.500
6 Y 0.500 0.000 0.500
7 Tm 0.045 0.000 0.768
8 Tm 0.455 0.500 0.232
9 Tm 0.545 0.500 0.768
10 Tm 0.955 0.000 0.232
11 Sc 0.228 0.500 0.369
12 Sc 0.272 0.000 0.631
13 Sc 0.728 0.000 0.369
14 Sc 0.772 0.500 0.631

Summary:
Crystal system: monoclinic
V: 30.59 Å³/atom
Spin magnetization: 0.0000 μB per atom
Final energy: -5.260 eV per atom
Formation energy: 112 meV/atom

# NdY3Tm6Sc2

An optimized crystal structure of NdY3Tm6Sc2 (GGA-PBE, the Alexandria database).

Cell lengths 6.033, 6.033, 11.580 Å; angles 94.97, 94.97, 119.95 degrees
Element x y z (fractional)
1 Nd 0.000 0.000 0.000
2 Y 0.167 0.833 0.500
3 Y 0.500 0.500 0.500
4 Y 0.833 0.167 0.500
5 Tm 0.083 0.418 0.246
6 Tm 0.253 0.253 0.755
7 Tm 0.418 0.083 0.246
8 Tm 0.582 0.917 0.754
9 Tm 0.747 0.747 0.245
10 Tm 0.917 0.582 0.754
11 Sc 0.333 0.667 0.000
12 Sc 0.667 0.333 0.000

Summary:
Crystal system: monoclinic
V: 29.97 Å³/atom
Spin magnetization: 0.0000 μB per atom
Final energy: -5.261 eV per atom
Formation energy: 44 meV/atom

# NdYTm2Sc4

An optimized crystal structure of NdYTm2Sc4 (GGA-PBE, the Alexandria database).

Cell lengths 9.081, 9.081, 6.529 Å; angles 111.07, 111.07, 88.31 degrees
Element x y z (fractional)
1 Nd 0.000 0.000 0.000
2 Nd 0.000 0.000 0.500
3 Y 0.000 0.500 0.000
4 Y 0.500 0.000 0.500
5 Tm 0.000 0.500 0.500
6 Tm 0.500 0.000 0.000
7 Tm 0.500 0.500 0.000
8 Tm 0.500 0.500 0.500
9 Sc 0.251 0.256 0.505
10 Sc 0.254 0.746 0.503
11 Sc 0.254 0.746 0.997
12 Sc 0.256 0.251 0.005
13 Sc 0.744 0.749 0.995
14 Sc 0.746 0.254 0.003
15 Sc 0.746 0.254 0.497
16 Sc 0.749 0.744 0.495

Summary:
Crystal system: monoclinic
V: 29.11 Å³/atom
Spin magnetization: 0.4496 μB per atom
Final energy: -5.245 eV per atom
Formation energy: 443 meV/atom

# NdY6Tm2Sc3

An optimized crystal structure of NdY6Tm2Sc3 (GGA-PBE, the Alexandria database).

Cell lengths 6.067, 6.067, 11.520 Å; angles 95.04, 95.04, 119.99 degrees
Element x y z (fractional)
1 Nd 0.000 0.000 0.000
2 Y 0.086 0.420 0.259
3 Y 0.247 0.247 0.741
4 Y 0.420 0.086 0.259
5 Y 0.580 0.914 0.741
6 Y 0.753 0.753 0.259
7 Y 0.914 0.580 0.741
8 Tm 0.333 0.667 0.000
9 Tm 0.667 0.333 0.000
10 Sc 0.167 0.833 0.500
11 Sc 0.500 0.500 0.500
12 Sc 0.833 0.167 0.500

Summary:
Crystal system: monoclinic
V: 30.12 Å³/atom
Spin magnetization: 0.0000 μB per atom
Final energy: -5.904 eV per atom
Formation energy: 53 meV/atom